Density functional theory data (SCAN) for a PBEsol-optimized structure of BaHfTi3.

ΔE_f = 8.80 eV/f.u.
DOS(E_F) = 7.71 states/eV/f.u.
spin magnetization = 0.009 Bohr magnetons per cell

Unit cell a=4.873 b=4.873 c=4.873 alpha=90.00 beta=90.00 gamma=90.00
Space group Pm-3m (No. 221)
Asymmetric unit:
Ba 0.000 0.000 0.000 (multiplicity 1)
Hf 0.500 0.500 0.500 (multiplicity 1)
Ti 0.000 0.000 0.500 (multiplicity 3)